The following is a DFT calculation (PBE) of a relaxed structure of PmYPt10.

Results
For the formation energy, the calculation gives -0.700 eV/atom. As for the density of states at the Fermi level: 9.5 states/eV per cell. Its space group is Pmmm (47). As for the magnetic moment: 0.000 μB per atom.

abc: 4.4537 5.3958 9.2947
angles: 90.00 90.00 90.00
With the nearest neighbours (Å) after each atom.
Positions (direct):
Pm1 0.0000 0.0000 0.0000  6 Pt 3.12
Y1 0.0000 0.5000 0.5000  6 Pt 3.07-3.10
Pt1 0.0000 0.0000 0.3353  6 Pt 2.70-2.72
Pt2 0.0000 0.0000 0.6647  6 Pt 2.70-2.72
Pt3 0.0000 0.5000 0.1692  6 Pt 2.71-2.73
Pt4 0.0000 0.5000 0.8308  6 Pt 2.71-2.73
Pt5 0.5000 0.0000 0.5000  8 Pt 2.68-2.70
Pt6 0.5000 0.2504 0.2510  8 Pt 2.68-2.72
Pt7 0.5000 0.2504 0.7490  8 Pt 2.68-2.72
Pt8 0.5000 0.5000 0.0000  8 Pt 2.69-2.73
Pt9 0.5000 0.7496 0.2510  8 Pt 2.68-2.72
Pt10 0.5000 0.7496 0.7490  8 Pt 2.68-2.72